Record 1
Tb2Pm4SmHo PBE-GGA optimized geometry; ΔE_f = 15 meV per atom
1.0
3.6171 0.0000 0.0000
0.0000 6.2473 0.0027
0.0000 2.1157 11.7554
Tb Pm Sm Ho
2 4 1 1
Cartesian
0.0000 2.1157 11.7554
1.8086 1.0579 5.8777
0.0001 6.2707 8.8016
3.6171 2.0923 2.9565
1.8086 5.2174 2.9570
1.8086 3.1456 8.8012
1.8086 5.2394 11.7568
0.0000 4.1815 5.8791

Record 2
TbPmSm2Ho PBE-GGA optimized geometry; ΔE_f = 276 meV per atom
1.0
-5.0713 3.4265 2.6199
2.7690 -1.7094 7.5958
3.4125 5.1530 -0.1340
Tb Pm Sm Ho
2 2 4 2
Cartesian
-2.0627 3.2584 1.4728
0.4040 5.3211 1.0130
0.0000 0.0000 0.0000
1.7063 2.5765 -0.0670
0.9771 5.0650 6.9794
-0.1112 5.6995 4.0430
1.2214 1.1706 6.0387
0.1332 1.8051 3.1022
3.1314 3.5590 4.1171
-2.0212 3.3111 5.9645

Record 3
TbPmSmHo3 PBE-GGA optimized geometry; ΔE_f = 195 meV per atom
1.0
-2.4715 -0.5527 5.0259
9.7940 2.4089 1.9301
-1.6804 6.8264 -0.0756
Tb Pm Sm Ho
2 2 2 6
Cartesian
0.5403 3.5012 3.8017
5.1018 5.1814 3.0786
4.4185 8.1079 3.0645
1.2236 0.5746 3.8159
0.4916 1.9833 0.4599
5.1504 6.6993 6.4205
4.0547 2.9187 5.4659
2.2832 6.0527 4.9394
7.7371 3.7780 4.2202
3.3589 2.6299 1.9409
-2.0950 4.9046 2.6602
1.5873 5.7639 1.4145

Record 4
Tb4PmSm2Ho PBE-GGA optimized geometry; ΔE_f = 418 meV per atom
1.0
-3.3615 -3.4781 -8.2151
0.7535 -8.9554 3.1810
-3.5613 9.6137 5.9065
Tb Pm Sm Ho
8 2 4 2
Cartesian
-0.2647 -7.6049 0.3656
-4.0993 -0.0545 -2.3781
-2.0700 -2.7652 3.2505
-5.9046 4.7851 0.5067
-5.4953 0.2675 2.1159
-3.7570 -4.4993 -0.8028
-2.4123 1.6795 1.6752
-0.6740 -3.0872 -1.2434
0.3767 -4.4777 1.5905
-4.7654 -3.1490 -3.6714
-1.6808 -1.7391 -4.1075
-3.4614 3.0678 -1.1543
-1.7806 4.8068 2.9532
-1.3040 -6.2167 -2.5171
-3.0847 -1.4099 0.4362
-6.9227 6.1355 -2.3086

Record 5
Tb6PmSmHo2 PBE-GGA optimized geometry; ΔE_f = 122 meV per atom
1.0
9.1535 -2.0167 -2.0929
0.7974 8.5357 -1.9908
0.7974 -2.3058 8.4560
Tb Pm Sm Ho
12 2 2 4
Cartesian
1.2096 -0.8344 6.0008
4.9618 -0.8062 6.0301
9.5386 5.0475 -1.6286
5.7864 5.0193 -1.6579
4.0357 6.7138 1.0366
2.1358 4.4344 -1.3289
6.7125 -2.5007 3.3357
8.6124 -0.2213 5.7012
2.0534 4.6578 2.4990
4.1181 2.8968 0.6715
8.6948 -0.4447 1.8733
6.6301 1.3163 3.7007
3.0857 1.6068 3.6767
7.6625 2.6063 0.6955
3.0857 7.7455 -2.2385
7.6625 -3.5324 6.6108
5.3609 4.3299 3.3798
0.8106 2.0044 0.9666
5.3873 -0.1167 0.9924
9.9376 2.2087 3.4057

Record 6
Tb6Pm2SmHo3 PBE-GGA optimized geometry; ΔE_f = 16 meV per atom
1.0
-0.9798 0.6376 6.0745
-2.2773 -4.9074 -2.9996
10.8888 -4.4799 1.1806
Tb Pm Sm Ho
6 2 1 3
Cartesian
5.9088 -5.6184 4.6953
0.3097 -4.3437 2.6100
1.7229 -3.1314 -0.4398
5.4765 -7.4658 1.6721
7.3220 -4.4060 1.6454
2.1552 -1.2840 2.5834
-1.8449 -3.0593 0.0247
-1.4122 -1.2105 3.0502
0.0000 0.0000 0.0000
3.3832 -6.2236 -0.8977
4.2485 -2.5261 5.1532
3.8158 -4.3749 2.1277

Record 7
TbPmSm2Ho4 PBE-GGA optimized geometry; ΔE_f = 425 meV per atom
1.0
9.3538 -0.0277 -1.7212
-0.0343 9.3538 -1.7212
-5.9367 -5.9408 8.2904
Tb Pm Sm Ho
2 2 4 8
Cartesian
1.6914 1.6926 2.4240
3.4171 -5.9685 6.5692
-0.0171 4.6769 -0.8606
6.3683 1.6788 1.5634
4.6769 -0.0138 -0.8606
1.7086 -2.9843 3.2846
-2.9683 -2.9704 4.1452
4.6598 4.6630 -1.7212
2.2985 7.0242 -1.7201
4.0226 -0.6385 2.4229
-0.6398 4.0236 2.4251
1.0845 -3.6389 6.5681
1.0570 1.0606 5.6884
4.0144 4.0201 1.5836
-0.6316 -0.6348 3.2644
2.3258 2.3246 -0.8404

Record 8
Tb2PmSmHo4 PBE-GGA optimized geometry; ΔE_f = 431 meV per atom
1.0
9.3407 -0.0326 -1.7152
-0.0391 9.3407 -1.7152
-5.9237 -5.9278 8.2715
Tb Pm Sm Ho
4 2 2 8
Cartesian
4.6704 -0.0163 -0.8576
1.7085 -2.9802 3.2781
-2.9618 -2.9639 4.1357
4.6508 4.6540 -1.7152
-0.0196 4.6703 -0.8575
6.3593 1.6739 1.5629
1.6889 1.6901 2.4206
3.4170 -5.9604 6.5563
2.3213 6.9852 -1.7081
4.0461 -0.6686 2.4135
-0.6682 4.0488 2.4276
1.0568 -3.6049 6.5492
6.9535 6.9776 -2.5632
4.0178 4.0399 1.5535
-0.6399 -0.6595 3.2877
-3.5757 -3.5973 7.4044

Record 9
Tb6PmSm3Ho2 PBE-GGA optimized geometry; ΔE_f = 14 meV per atom
1.0
6.1960 0.0008 0.0095
-3.0958 5.3672 0.0095
-1.0468 -1.8125 11.6749
Tb Pm Sm Ho
6 1 3 2
Cartesian
3.0890 1.7664 8.7885
2.0630 3.5721 2.9133
-1.0356 1.7891 2.9053
-0.0138 3.5584 8.7885
-0.0096 -0.0166 8.7805
2.0672 -0.0029 2.9053
0.0000 0.0000 0.0000
-2.0687 3.5654 5.8469
4.1221 -0.0100 5.8469
1.0267 1.7777 5.8469
0.0004 3.5790 0.0095
3.0998 1.7890 0.0095

Record 10
TbPm4Sm2Ho PBE-GGA optimized geometry; ΔE_f = 396 meV per atom
1.0
9.3988 0.0280 -1.7239
0.0214 9.3988 -1.7239
-6.0115 -6.0157 8.3667
Tb Pm Sm Ho
2 8 4 2
Cartesian
1.7043 1.7055 2.4595
3.3872 -5.9877 6.6428
2.3398 7.0610 -1.7063
4.0436 -0.6112 2.4420
-0.6350 4.0222 2.4770
1.0690 -3.6500 6.6253
0.8937 0.8587 5.5075
4.2549 4.2223 1.8710
-0.8462 -0.8112 3.0480
2.5150 2.5523 -0.5885
4.6994 0.0140 -0.8619
1.6936 -2.9938 3.3214
-3.0057 -3.0078 4.1833
4.7101 4.7133 -1.7238
0.0107 4.6994 -0.8619
6.4037 1.7195 1.5975

Record 11
Tb6Pm2SmHo PBE-GGA optimized geometry; ΔE_f = 116 meV per atom
1.0
9.2256 -2.1122 -2.1919
0.7615 8.5419 -2.0221
0.7615 -2.3373 8.4611
Tb Pm Sm Ho
12 4 2 2
Cartesian
1.1838 -0.8085 5.9280
4.9519 -0.8054 5.9312
9.5647 4.9009 -1.6810
5.7967 4.8978 -1.6842
3.9665 6.7122 0.9491
2.1692 4.4489 -1.3998
6.7821 -2.6197 3.2979
8.5793 -0.3564 5.6468
2.0209 4.6247 2.4938
4.1148 2.8278 0.6290
8.7276 -0.5323 1.7532
6.6338 1.2646 3.6180
5.3659 4.2651 3.3120
0.7698 1.9969 0.9580
5.3826 -0.1727 0.9350
9.9787 2.0956 3.2890
3.0679 7.8028 -2.3668
7.6807 -3.7104 6.6138
3.0679 1.5688 3.6404
7.6807 2.5237 0.6066

Record 12
Tb2Pm5SmHo PBE-GGA optimized geometry; ΔE_f = 144 meV per atom
1.0
5.6603 0.0000 0.0000
-2.8301 10.1671 0.0000
0.0000 0.0000 10.7049
Tb Pm Sm Ho
4 10 2 2
Cartesian
2.8301 7.8105 8.7456
0.0000 2.2569 7.8867
0.0000 2.3567 3.3931
2.8301 7.9103 2.5343
0.0000 7.9366 0.2593
2.8301 4.4568 8.6629
0.0000 9.7625 7.9438
0.0000 6.0532 7.5463
2.8301 9.8329 5.5832
2.8301 2.2306 5.6118
0.0000 5.7104 3.3104
2.8301 0.4047 2.5913
2.8301 4.1140 2.1938
0.0000 0.3342 0.2307
2.8301 6.0881 5.4560
0.0000 4.0790 0.1035
2.8301 1.8257 10.2615
0.0000 8.3415 4.9091

Record 13
Tb6Pm3Sm2Ho PBE-GGA optimized geometry; ΔE_f = 13 meV per atom
1.0
6.2213 0.0003 0.0085
-3.1088 5.3888 0.0085
-1.0506 -1.8191 11.7010
Tb Pm Sm Ho
6 3 2 1
Cartesian
3.0993 1.7813 8.8062
2.0739 3.5909 2.9229
-1.0375 1.7887 2.9119
-0.0060 3.5747 8.8062
-0.0121 -0.0209 8.7952
2.0678 -0.0048 2.9119
-2.0796 3.5814 5.8590
4.1414 -0.0114 5.8590
1.0309 1.7850 5.8590
0.0024 3.5920 0.0085
3.1101 1.7972 0.0085
0.0000 0.0000 0.0000

Record 14
TbPm3SmHo PBE-GGA optimized geometry; ΔE_f = 18 meV per atom
1.0
-5.1086 0.2492 -0.1158
-0.4327 -7.1508 3.7023
0.2810 8.7249 6.3806
Tb Pm Sm Ho
2 6 2 2
Cartesian
-1.5127 -3.3188 3.0899
-3.7476 5.1420 6.8772
-4.1976 -5.6909 3.4190
-1.0627 7.5141 6.5481
-1.4199 -0.4265 5.2181
-3.8404 2.2498 4.7491
-3.9362 -0.6943 2.6379
-1.3241 2.5176 7.3293
-1.2482 1.7338 2.2932
-4.0121 0.0895 7.6740
-1.1554 4.6220 4.4144
-4.1049 -2.7987 5.5527

Record 15
Tb2Pm4SmHo2 PBE-GGA optimized geometry; ΔE_f = 17 meV per atom
1.0
-0.8603 0.9602 -4.9185
1.3309 -7.8970 0.8538
-7.7664 1.3260 1.6173
Tb Pm Sm Ho
2 4 1 2
Cartesian
-2.3089 -4.8443 -3.1701
-4.9868 -0.7665 0.7226
-5.1180 -2.7479 -2.2695
-2.1777 -2.8630 -0.1780
-2.9087 0.1105 -2.0979
-4.3870 -5.7213 -0.3495
0.0000 0.0000 0.0000
0.5960 -4.9282 -1.0663
-7.8918 -0.6827 -1.3811

Record 16
Tb2Pm6Sm3Ho PBE-GGA optimized geometry; ΔE_f = 13 meV per atom
1.0
6.2752 -0.0004 0.0062
-3.1365 5.4351 0.0062
-1.0567 -1.8297 11.7849
Tb Pm Sm Ho
2 6 3 1
Cartesian
0.0007 3.6233 0.0062
3.1381 1.8114 0.0062
3.1283 1.7974 8.8758
2.0917 3.6217 2.9289
-1.0463 1.8076 2.9216
-0.0066 3.6079 8.8758
-0.0097 -0.0168 8.8685
2.0886 -0.0029 2.9216
-2.0965 3.6145 5.8987
4.1785 -0.0095 5.8987
1.0410 1.8025 5.8987
0.0000 0.0000 0.0000

Record 17
TbPmSm2Ho6 PBE-GGA optimized geometry; ΔE_f = 122 meV per atom
1.0
9.2003 -2.1316 -2.2121
0.7316 8.4910 -2.0047
0.7316 -2.3180 8.4109
Tb Pm Sm Ho
2 2 4 12
Cartesian
3.0317 7.7495 -2.3567
7.6319 -3.7081 6.5507
3.0317 1.5352 3.6314
7.6319 2.5062 0.5627
5.3214 4.2577 3.3078
0.7420 1.9595 0.9228
5.3422 -0.2163 0.8863
9.9216 2.0819 3.2713
1.1564 -0.8049 5.8918
4.9070 -0.8104 5.8862
9.5072 4.8464 -1.6977
5.7566 4.8518 -1.6921
3.9268 6.6135 0.9105
2.1366 4.4425 -1.3426
6.7368 -2.5721 3.2836
8.5270 -0.4010 5.5367
1.9920 4.5947 2.4962
4.0715 2.7831 0.6161
8.6716 -0.5533 1.6979
6.5922 1.2583 3.5780

Record 18
PmSm2Ho3Te6 PBE-GGA optimized geometry; energy relative to the elements, uncorrected = -15.86 eV/f.u.
1.0
-2.2254 -3.6278 0.9299
7.5285 -4.6801 -0.2415
0.3434 4.6340 8.6958
Pm Sm Ho Te
1 2 3 6
Cartesian
-1.1127 -1.8139 0.4650
3.4027 -3.0576 6.4184
2.2438 -0.6162 2.9658
2.6516 -4.1539 0.3442
-0.3682 -0.7123 6.5442
6.0147 -2.9615 2.8401
6.4337 -2.4515 5.8324
3.0616 -3.6371 3.3413
-0.7872 -1.2223 3.5518
0.0532 -0.2060 9.5277
5.5933 -3.4678 -0.1435
2.5849 -0.0366 6.0429

Record 19
Pm3Sm3HoTe8 PBE-GGA optimized geometry; energy relative to the elements, uncorrected = -21.45 eV/f.u.
1.0
-6.4151 0.9917 -6.0385
5.2369 -7.1501 -0.2295
-5.9739 0.9128 6.4964
Pm Sm Ho Te
3 3 1 8
Cartesian
0.0000 0.0000 0.0000
2.6184 -3.5751 -0.1147
-0.5891 -3.0792 -3.1340
-6.1945 0.9523 0.2290
-3.5761 -2.6228 0.1143
-0.3685 -3.1187 3.1335
-2.9870 0.4564 3.2482
-0.4867 -3.1049 0.0071
-6.6655 -2.1407 0.2214
-3.6926 -2.5970 -3.0119
-3.4596 -2.6486 3.2404
-6.3008 0.9641 -2.8979
-0.8513 -6.2097 3.1264
-3.1055 0.4701 0.1098
-4.0467 -5.7157 0.1187